Compound: LiMg
Source: the Alexandria database
Functional: PBE
Structure: relaxed

## Properties
* energy of formation from the pure elements: 0.45 eV per atom

a = 4.9235 Å, b = 4.9235 Å, c = 5.6383 Å
α = 90.00°, β = 90.00°, γ = 120.00°
Space group P6_3/mmc (No. 194)
One atom of each set of equivalent atoms:
Li: 0.3333 0.6667 0.2500 (multiplicity 2)
Mg: 0.3333 0.6667 0.7500 (multiplicity 2)


Compound: Pr3Sm7Tl2
Source: the Alexandria database
Functional: PBE
Structure: relaxed

## Properties
* energy of formation from the pure elements: -0.03 eV per atom

a = 5.832 Å, b = 3.675 Å, c = 18.739 Å
α = 90.00°, β = 93.72°, γ = 90.00°
Space group P2/m (No. 10)
One atom of each set of equivalent atoms:
Pr: 0.000 0.000 0.000 (multiplicity 1)
Pr: 0.280 0.500 0.641 (multiplicity 2)
Sm: 0.178 0.500 0.153 (multiplicity 2)
Sm: 0.242 0.000 0.464 (multiplicity 2)
Sm: 0.319 0.000 0.833 (multiplicity 2)
Sm: 0.500 0.500 0.000 (multiplicity 1)
Tl: 0.206 0.000 0.296 (multiplicity 2)


Compound: Na4Au
Source: the Alexandria database
Functional: PBE
Structure: relaxed

## Properties
* energy of formation from the pure elements: -0.15 eV per atom
* ΔE to the lowest computed polymorph: 0 meV per atom

a = 6.533 Å, b = 6.533 Å, c = 14.587 Å
α = 90.00°, β = 90.00°, γ = 90.00°
Space group I4_1/a (No. 88, origin choice 2)
One atom of each set of equivalent atoms:
Na: 0.146 0.482 0.295 (multiplicity 16)
Au: 0.000 0.250 0.125 (multiplicity 4)


Compound: Hf2RuN
Source: the Alexandria database
Functional: PBE
Structure: relaxed

## Properties
* formation energy (no corrections): -1046 meV per atom

a = 3.1623 Å, b = 3.1623 Å, c = 20.6041 Å
α = 90.00°, β = 90.00°, γ = 120.00°
Space group R-3m (No. 166, hexagonal axes)
One atom of each set of equivalent atoms:
Hf: 0.0000 0.0000 0.2320 (multiplicity 6)
Ru: 0.0000 0.0000 0.0000 (multiplicity 3)
N: 0.0000 0.0000 0.5000 (multiplicity 3)


Compound: YRe2
Source: the Alexandria database
Functional: PBE
Structure: relaxed

## Properties
* energy of formation from the pure elements: 0.15 eV per atom

a = 4.2304 Å, b = 4.2304 Å, c = 7.9428 Å
α = 90.00°, β = 90.00°, γ = 120.00°
Space group P6_3/mmc (No. 194)
One atom of each set of equivalent atoms:
Y: 0.0000 0.0000 0.2500 (multiplicity 2)
Re: 0.3333 0.6667 0.0366 (multiplicity 4)


Compound: CaPdO
Source: the Alexandria database
Functional: PBE
Structure: relaxed

## Properties
* formation energy (no corrections): -1443 meV per atom

a = 7.828 Å, b = 3.667 Å, c = 8.210 Å
α = 90.00°, β = 90.00°, γ = 90.00°
Space group Pnma (No. 62)
One atom of each set of equivalent atoms:
Ca: 0.167 0.250 0.073 (multiplicity 4)
Pd: 0.003 0.250 0.616 (multiplicity 4)
O: 0.018 0.750 0.140 (multiplicity 4)


Number 1: mass density 0.877 g/cm3, size of the total moment 0.0 μB/f.u.. Number 2: mass density 7.806 g/cm3, size of the total moment 0.0 μB/f.u.. Number 3: mass density 3.083 g/cm3, size of the total moment 0.0 μB/f.u.. Number 4: mass density 13.179 g/cm3, size of the total moment 0.0 μB/f.u.. Number 5: mass density 12.446 g/cm3, size of the total moment 0.0 μB/f.u.. Number 6: mass density 4.581 g/cm3, size of the total moment 0.0 μB/f.u..